1.
Compound: Cr2AsSe
Source: Alexandria via LeMat-Bulk
Functional: PBE
Structure: relaxed

Properties
Formation energy (no corrections) ... 96 meV/atom
VASP energy ... -6.749 eV per atom
Size of the total moment ... 0.19 μB/f.u.
Offset from the most stable computed form ... 0.340 eV per atom
Fermi-level density of states ... 1.8 states/eV/f.u.
Symmetry ... No. 160

```
Cr2AsSe
1.0
-7.321 -5.639 3.267
-5.238 -6.481 5.161
-6.841 -4.080 5.712
As Cr Se
1 2 1
Direct
0.720 0.720 0.720 As
0.989 0.989 0.989 Cr
0.258 0.258 0.258 Cr
0.533 0.533 0.533 Se
```

***

2.
Compound: TbMgTi
Source: Alexandria via LeMat-Bulk
Functional: PBE
Structure: relaxed

Properties
Formation energy from the elements ... 0.388 eV/f.u.
VASP energy ... -4.577 eV per atom
Size of the total moment ... 0.00 μB/f.u.
Offset from the most stable computed form ... 0.000 eV per atom
Fermi-level density of states ... 2.1 states/eV/f.u.
Symmetry ... No. 107

```
TbMgTi
1.0
3.297 0.000 0.000
0.000 3.297 0.000
-1.649 -1.649 6.517
Mg Tb Ti
1 1 1
Direct
0.318 0.318 0.636 Mg
0.011 0.011 0.022 Tb
0.671 0.671 0.342 Ti
```

***

3.
Compound: ZnNiAg2
Source: Alexandria via LeMat-Bulk
Functional: PBE
Structure: relaxed

Properties
Formation energy from the elements ... 0.253 eV/f.u.
VASP energy ... -3.126 eV per atom
Size of the total moment ... 0.00 μB/f.u.
Fermi-level density of states ... 2.0 states/eV/f.u.
Symmetry ... No. 44

```
ZnNiAg2
1.0
-2.956 4.366 -0.397
-4.284 -0.145 -3.095
2.529 -1.933 4.222
Ag Ni Zn
2 1 1
Direct
0.012 0.012 0.000 Ag
0.736 0.236 0.500 Ag
0.484 0.484 0.000 Ni
0.268 0.768 0.500 Zn
```

***

4.
Compound: SnW3Au
Source: Alexandria via LeMat-Bulk
Functional: PBE
Structure: relaxed

Properties
Formation energy from the elements ... 13.847 eV/f.u.
VASP energy ... -6.458 eV per atom
Size of the total moment ... 0.00 μB/f.u.
Offset from the most stable computed form ... 0.281 eV per atom
Fermi-level density of states ... 9.5 states/eV/f.u.
Symmetry ... No. 221

```
SnW3Au
1.0
-0.491 -1.213 4.683
-3.478 -3.184 -1.190
3.363 -3.469 -0.546
Au Sn W
1 1 3
Direct
0.500 0.500 0.500 Au
0.000 0.000 0.000 Sn
0.000 0.500 0.000 W
0.000 0.000 0.500 W
0.500 0.000 0.000 W
```

***

5.
Compound: Tl2TcHgO4
Source: Alexandria via LeMat-Bulk
Functional: PBE
Structure: relaxed

Properties
Formation energy (no corrections) ... -944 meV/atom
VASP energy ... -5.348 eV per atom
Size of the total moment ... 0.97 μB/f.u.
Fermi-level density of states ... 5.0 states/eV/f.u.
Symmetry ... No. 82

```
Tl2TcHgO4
1.0
-0.675 -6.105 1.932
6.211 1.540 0.713
-4.031 3.565 3.535
Tl Tc Hg O
2 1 1 4
Direct
0.500 0.750 0.250 Tl
0.000 0.000 0.000 Tl
0.000 0.500 0.500 Tc
0.500 0.250 0.750 Hg
0.748 0.567 0.494 O
0.927 0.181 0.433 O
0.073 0.506 0.254 O
0.252 0.746 0.819 O
```

***

6.
Compound: SrLa2As
Source: Alexandria via LeMat-Bulk
Functional: PBE
Structure: relaxed

Properties
Formation energy from the elements ... -2.696 eV/f.u.
VASP energy ... -4.720 eV per atom
Size of the total moment ... 0.85 μB/f.u.
Fermi-level density of states ... 4.4 states/eV/f.u.
Symmetry ... No. 160

```
SrLa2As
1.0
4.205 0.000 0.000
2.102 3.641 0.000
2.102 1.214 10.571
Sr La As
1 2 1
Direct
0.500 0.500 0.500 Sr
0.055 0.055 0.836 La
0.279 0.279 0.163 La
0.666 0.666 0.001 As
```

***

7.
Compound: Tb2Er5Th4
Source: Alexandria via LeMat-Bulk
Functional: PBE
Structure: relaxed

Properties
Formation energy from the elements ... 2.117 eV/f.u.
VASP energy ... -5.422 eV per atom
Size of the total moment ... 0.00 μB/f.u.
Offset from the most stable computed form ... 0.167 eV per atom
Fermi-level density of states ... 15.8 states/eV/f.u.
Symmetry ... No. 12

```
Tb2Er5Th4
1.0
6.630 0.000 0.000
3.315 7.865 2.764
3.315 4.660 8.480
Tb Er Th
2 5 4
Direct
0.196 0.931 0.678 Tb
0.804 0.069 0.322 Tb
0.175 0.266 0.905 Er
0.825 0.734 0.095 Er
0.000 0.500 0.500 Er
0.654 0.266 0.905 Er
0.346 0.734 0.095 Er
0.407 0.777 0.410 Th
0.593 0.223 0.590 Th
0.752 0.657 0.839 Th
0.248 0.343 0.161 Th
```

***

8.
Compound: LaTiS2
Source: Alexandria via LeMat-Bulk
Functional: PBE
Structure: relaxed

Properties
Formation energy (no corrections) ... -1137 meV/atom
VASP energy ... -6.407 eV per atom
Size of the total moment ... 0.84 μB/f.u.
Offset from the most stable computed form ... 0.164 eV per atom
Fermi-level density of states ... 3.2 states/eV/f.u.
Symmetry ... No. 166

```
LaTiS2
1.0
-2.101 -2.236 8.104
-0.029 0.674 8.639
-3.529 1.071 7.841
S Ti La
2 1 1
Direct
0.888 0.888 0.888 S
0.112 0.112 0.112 S
0.500 0.500 0.500 Ti
0.000 0.000 0.000 La
```

***

9.
Compound: SrZrRe3
Source: Alexandria via LeMat-Bulk
Functional: PBE
Structure: relaxed

Properties
Formation energy from the elements ... 9.932 eV/f.u.
VASP energy ... -7.528 eV per atom
Size of the total moment ... 3.03 μB/f.u.
Offset from the most stable computed form ... 0.000 eV per atom
Fermi-level density of states ... 5.5 states/eV/f.u.
Symmetry ... No. 221

```
SrZrRe3
1.0
-2.190 -3.515 -2.719
3.193 0.864 -3.689
3.091 -3.383 1.883
Re Zr Sr
3 1 1
Direct
0.000 0.500 0.000 Re
0.000 0.000 0.500 Re
0.500 0.000 0.000 Re
0.000 0.000 0.000 Zr
0.500 0.500 0.500 Sr
```

***

10.
Compound: BeTcGe2
Source: Alexandria via LeMat-Bulk
Functional: PBE
Structure: relaxed

Properties
Formation energy from the elements ... 2.121 eV/f.u.
VASP energy ... -5.301 eV per atom
Size of the total moment ... 1.02 μB/f.u.
Fermi-level density of states ... 1.1 states/eV/f.u.
Symmetry ... No. 122

```
BeTcGe2
1.0
6.842 0.000 0.000
0.000 6.842 0.000
3.421 3.421 2.540
Be Ge Tc
2 4 2
Direct
0.500 0.500 0.000 Be
0.250 0.750 0.500 Be
0.594 0.125 0.250 Ge
0.156 0.625 0.250 Ge
0.375 0.406 0.750 Ge
0.875 0.844 0.750 Ge
0.000 0.000 0.000 Tc
0.750 0.250 0.500 Tc
```

***

11.
Compound: KMg2Mn
Source: Alexandria via LeMat-Bulk
Functional: PBE
Structure: relaxed

Properties
Formation energy from the elements ... 1.872 eV/f.u.
VASP energy ... -2.896 eV per atom
Size of the total moment ... 3.75 μB/f.u.
Offset from the most stable computed form ... 0.117 eV per atom
Fermi-level density of states ... 3.2 states/eV/f.u.
Symmetry ... No. 44

```
KMg2Mn
1.0
-7.611 -3.651 -2.164
-3.926 -4.482 -6.360
5.900 1.940 6.113
K Mg Mn
1 2 1
Direct
0.318 0.818 0.500 K
0.015 0.015 0.000 Mg
0.652 0.152 0.500 Mg
0.514 0.514 0.000 Mn
```

***

12.
Compound: ScPd2RhAu
Source: Alexandria via LeMat-Bulk
Functional: PBE
Structure: relaxed

Properties
Formation energy from the elements ... 3.080 eV/f.u.
VASP energy ... -4.853 eV per atom
Size of the total moment ... 1.37 μB/f.u.
Fermi-level density of states ... 6.4 states/eV/f.u.
Symmetry ... No. 123

```
ScPd2RhAu
1.0
-2.792 3.035 2.434
-3.874 -3.054 -0.636
1.107 -2.253 4.078
Sc Rh Au Pd
1 1 1 2
Direct
0.500 0.500 0.500 Sc
0.000 0.000 0.000 Rh
0.000 0.500 0.000 Au
0.000 0.000 0.500 Pd
0.500 0.000 0.000 Pd
```